(1)
# MnSb2IrOs GGA-PBEsol relaxed
# uncorrected formation energy: 1.35 eV per atom
data_MnSb2IrOs
_cell_length_a 4.918
_cell_length_b 4.918
_cell_length_c 4.720
_cell_angle_alpha 90.00
_cell_angle_beta 90.00
_cell_angle_gamma 90.00
_space_group_name_H-M_alt 'P 4/m m m'
_space_group_IT_number 123
_space_group_name_Hall '-P 4 2'
loop_
_atom_site_label
_atom_site_type_symbol
_atom_site_fract_x
_atom_site_fract_y
_atom_site_fract_z
_atom_site_occupancy
Mn1 Mn 0.000 0.000 0.000 1
Sb1 Sb 0.000 0.500 0.500 1
Ir1 Ir 0.500 0.500 0.000 1
Os1 Os 0.000 0.000 0.500 1

=====

(2)
# TiBCl2 GGA-PBEsol relaxed
# uncorrected formation energy: 0.00 eV per atom
data_TiBCl2
_cell_length_a 9.240
_cell_length_b 9.240
_cell_length_c 4.336
_cell_angle_alpha 90.00
_cell_angle_beta 90.00
_cell_angle_gamma 90.00
_space_group_name_H-M_alt 'I -4 2 d'
_space_group_IT_number 122
_space_group_name_Hall 'I -4 2bw'
loop_
_atom_site_label
_atom_site_type_symbol
_atom_site_fract_x
_atom_site_fract_y
_atom_site_fract_z
_atom_site_occupancy
Ti1 Ti 0.000 0.000 0.000 1
B1 B 0.000 0.000 0.500 1
Cl1 Cl 0.001 0.750 0.125 1

=====

(3)
# Mg2TaMo GGA-PBEsol relaxed
# energy relative to the elements: 0.346 eV per atom
data_Mg2TaMo
_cell_length_a 3.858
_cell_length_b 3.858
_cell_length_c 4.690
_cell_angle_alpha 90.00
_cell_angle_beta 90.00
_cell_angle_gamma 90.00
_space_group_name_H-M_alt 'P 4/m m m'
_space_group_IT_number 123
_space_group_name_Hall '-P 4 2'
loop_
_atom_site_label
_atom_site_type_symbol
_atom_site_fract_x
_atom_site_fract_y
_atom_site_fract_z
_atom_site_occupancy
Mg1 Mg 0.000 0.500 0.000 1
Ta1 Ta 0.000 0.000 0.500 1
Mo1 Mo 0.500 0.500 0.500 1

=====

(4)
# LiAsI2O GGA-PBEsol relaxed
# uncorrected formation energy: 0.05 eV per atom
data_LiAsI2O
_cell_length_a 5.285
_cell_length_b 5.285
_cell_length_c 3.623
_cell_angle_alpha 90.00
_cell_angle_beta 90.00
_cell_angle_gamma 90.00
_space_group_name_H-M_alt 'P 4/m m m'
_space_group_IT_number 123
_space_group_name_Hall '-P 4 2'
loop_
_atom_site_label
_atom_site_type_symbol
_atom_site_fract_x
_atom_site_fract_y
_atom_site_fract_z
_atom_site_occupancy
Li1 Li 0.000 0.000 0.000 1
As1 As 0.500 0.500 0.500 1
I1 I 0.000 0.500 0.000 1
O1 O 0.000 0.000 0.500 1

=====

(5)
# LaSc2Hg GGA-PBEsol relaxed
# energy relative to the elements: -0.197 eV per atom
data_LaSc2Hg
_cell_length_a 3.443
_cell_length_b 4.417
_cell_length_c 6.559
_cell_angle_alpha 90.00
_cell_angle_beta 90.00
_cell_angle_gamma 90.00
_space_group_name_H-M_alt 'P m m 2'
_space_group_IT_number 25
_space_group_name_Hall 'P 2 -2'
loop_
_atom_site_label
_atom_site_type_symbol
_atom_site_fract_x
_atom_site_fract_y
_atom_site_fract_z
_atom_site_occupancy
La1 La 0.000 0.000 0.000 1
Sc1 Sc 0.000 0.000 0.521 1
Sc2 Sc 0.500 0.500 0.298 1
Hg1 Hg 0.500 0.500 0.741 1

=====

(6)
# TaSiP2 GGA-PBEsol relaxed
# uncorrected formation energy: 0.15 eV per atom
data_TaSiP2
_cell_length_a 3.850
_cell_length_b 3.850
_cell_length_c 7.784
_cell_angle_alpha 90.00
_cell_angle_beta 90.00
_cell_angle_gamma 90.00
_space_group_name_H-M_alt 'I 4/m m m'
_space_group_IT_number 139
_space_group_name_Hall '-I 4 2'
loop_
_atom_site_label
_atom_site_type_symbol
_atom_site_fract_x
_atom_site_fract_y
_atom_site_fract_z
_atom_site_occupancy
Ta1 Ta 0.000 0.000 0.000 1
Si1 Si 0.000 0.000 0.500 1
P1 P 0.000 0.500 0.250 1

=====

(7)
# La2SiOs GGA-PBEsol relaxed
# uncorrected formation energy: -0.43 eV per atom
data_La2SiOs
_cell_length_a 7.234
_cell_length_b 4.199
_cell_length_c 7.857
_cell_angle_alpha 90.00
_cell_angle_beta 108.29
_cell_angle_gamma 90.00
_space_group_name_H-M_alt 'C 1 m 1'
_space_group_IT_number 8
_space_group_name_Hall 'C -2y'
loop_
_atom_site_label
_atom_site_type_symbol
_atom_site_fract_x
_atom_site_fract_y
_atom_site_fract_z
_atom_site_occupancy
La1 La 0.000 0.000 0.000 1
La2 La 0.172 0.000 0.504 1
Si1 Si 0.252 0.500 0.253 1
Os1 Os 0.418 0.000 0.253 1

=====

(8)
# AlP2O GGA-PBEsol relaxed
# uncorrected formation energy: 0.32 eV per atom
data_AlP2O
_cell_length_a 5.850
_cell_length_b 5.850
_cell_length_c 5.850
_cell_angle_alpha 90.00
_cell_angle_beta 90.00
_cell_angle_gamma 90.00
_space_group_name_H-M_alt 'F m -3 m'
_space_group_IT_number 225
_space_group_name_Hall '-F 4 2 3'
loop_
_atom_site_label
_atom_site_type_symbol
_atom_site_fract_x
_atom_site_fract_y
_atom_site_fract_z
_atom_site_occupancy
Al1 Al 0.000 0.000 0.000 1
P1 P 0.250 0.250 0.250 1
O1 O 0.000 0.000 0.500 1

=====

(9)
# Sc2Be2Al GGA-PBEsol relaxed
# energy relative to the elements: -0.216 eV per atom
data_Sc2Be2Al
_cell_length_a 6.427
_cell_length_b 6.427
_cell_length_c 3.818
_cell_angle_alpha 90.00
_cell_angle_beta 90.00
_cell_angle_gamma 90.00
_space_group_name_H-M_alt 'P 4/m b m'
_space_group_IT_number 127
_space_group_name_Hall '-P 4 2ab'
loop_
_atom_site_label
_atom_site_type_symbol
_atom_site_fract_x
_atom_site_fract_y
_atom_site_fract_z
_atom_site_occupancy
Sc1 Sc 0.172 0.328 0.000 1
Be1 Be 0.120 0.620 0.500 1
Al1 Al 0.000 0.000 0.500 1

=====

(10)
DFT (GGA-PBEsol) results for crystalline HgPH3 at its relaxed geometry.

```
data_HgPH3
_cell_length_a 3.671
_cell_length_b 3.671
_cell_length_c 3.671
_cell_angle_alpha 90.00
_cell_angle_beta 90.00
_cell_angle_gamma 90.00
_space_group_name_H-M_alt 'P m -3 m'
_space_group_IT_number 221
_space_group_name_Hall '-P 4 2 3'
loop_
_atom_site_label
_atom_site_type_symbol
_atom_site_fract_x
_atom_site_fract_y
_atom_site_fract_z
_atom_site_occupancy
Hg1 Hg 0.000 0.000 0.000 1
P1 P 0.500 0.500 0.500 1
H1 H 0.000 0.500 0.500 1
```

=====

(11)
# ZnSeO3 GGA-PBEsol relaxed
# uncorrected formation energy: 0.11 eV per atom
data_ZnSeO3
_cell_length_a 3.790
_cell_length_b 3.790
_cell_length_c 3.790
_cell_angle_alpha 90.00
_cell_angle_beta 90.00
_cell_angle_gamma 90.00
_space_group_name_H-M_alt 'P m -3 m'
_space_group_IT_number 221
_space_group_name_Hall '-P 4 2 3'
loop_
_atom_site_label
_atom_site_type_symbol
_atom_site_fract_x
_atom_site_fract_y
_atom_site_fract_z
_atom_site_occupancy
Zn1 Zn 0.000 0.000 0.000 1
Se1 Se 0.500 0.500 0.500 1
O1 O 0.000 0.000 0.500 1

=====

(12)
# CuTc2Mo GGA-PBEsol relaxed
# energy relative to the elements: 0.244 eV per atom
# energy relative to the lowest polymorph listed for this composition: 12 kJ/mol of formula units
data_CuTc2Mo
_cell_length_a 9.008
_cell_length_b 2.764
_cell_length_c 4.532
_cell_angle_alpha 90.00
_cell_angle_beta 102.03
_cell_angle_gamma 90.00
_space_group_name_H-M_alt 'C 1 m 1'
_space_group_IT_number 8
_space_group_name_Hall 'C -2y'
loop_
_atom_site_label
_atom_site_type_symbol
_atom_site_fract_x
_atom_site_fract_y
_atom_site_fract_z
_atom_site_occupancy
Cu1 Cu 0.000 0.000 0.000 1
Tc1 Tc 0.250 0.500 0.262 1
Tc2 Tc 0.494 0.000 0.493 1
Mo1 Mo 0.248 0.000 0.755 1

=====

(13)
# SbP2AuO GGA-PBEsol relaxed
# energy relative to the lowest polymorph listed for this composition: 4 kJ/mol of formula units
# uncorrected formation energy: 0.59 eV per atom
data_SbP2AuO
_cell_length_a 5.013
_cell_length_b 5.013
_cell_length_c 3.795
_cell_angle_alpha 90.00
_cell_angle_beta 90.00
_cell_angle_gamma 90.00
_space_group_name_H-M_alt 'P 4/m m m'
_space_group_IT_number 123
_space_group_name_Hall '-P 4 2'
loop_
_atom_site_label
_atom_site_type_symbol
_atom_site_fract_x
_atom_site_fract_y
_atom_site_fract_z
_atom_site_occupancy
Sb1 Sb 0.000 0.000 0.000 1
P1 P 0.000 0.500 0.000 1
Au1 Au 0.500 0.500 0.500 1
O1 O 0.000 0.000 0.500 1

=====

(14)
# La2Pt2O7 GGA-PBEsol relaxed
# energy relative to the lowest polymorph listed for this composition: 86 kJ/mol of formula units
# uncorrected formation energy: -1.88 eV per atom
data_La2Pt2O7
_cell_length_a 7.841
_cell_length_b 5.582
_cell_length_c 13.256
_cell_angle_alpha 90.00
_cell_angle_beta 98.42
_cell_angle_gamma 90.00
_space_group_name_H-M_alt 'P 1 21 1'
_space_group_IT_number 4
_space_group_name_Hall 'P 2yb'
loop_
_atom_site_label
_atom_site_type_symbol
_atom_site_fract_x
_atom_site_fract_y
_atom_site_fract_z
_atom_site_occupancy
La1 La 0.145 0.000 0.074 1
La2 La 0.227 0.443 0.407 1
La3 La 0.283 0.927 0.629 1
La4 La 0.354 0.461 0.897 1
Pt1 Pt 0.028 0.443 0.610 1
Pt2 Pt 0.075 0.945 0.813 1
Pt3 Pt 0.418 0.445 0.185 1
Pt4 Pt 0.473 0.940 0.388 1
O1 O 0.017 0.129 0.681 1
O2 O 0.053 0.740 0.520 1
O3 O 0.079 0.217 0.909 1
O4 O 0.123 0.731 0.930 1
O5 O 0.126 0.644 0.732 1
O6 O 0.177 0.339 0.207 1
O7 O 0.227 0.023 0.407 1
O8 O 0.272 0.355 0.591 1
O9 O 0.328 0.054 0.812 1
O10 O 0.373 0.726 0.098 1
O11 O 0.404 0.243 0.060 1
O12 O 0.428 0.624 0.318 1
O13 O 0.458 0.736 0.520 1
O14 O 0.489 0.640 0.735 1

=====

(15)
# MnCr4CdSe8 GGA-PBEsol relaxed
# uncorrected formation energy: -0.45 eV per atom
data_MnCr4CdSe8
_cell_length_a 10.587
_cell_length_b 10.587
_cell_length_c 10.587
_cell_angle_alpha 90.00
_cell_angle_beta 90.00
_cell_angle_gamma 90.00
_space_group_name_H-M_alt 'F -4 3 m'
_space_group_IT_number 216
_space_group_name_Hall 'F -4 2 3'
loop_
_atom_site_label
_atom_site_type_symbol
_atom_site_fract_x
_atom_site_fract_y
_atom_site_fract_z
_atom_site_occupancy
Mn1 Mn 0.000 0.000 0.000 1
Cr1 Cr 0.125 0.125 0.625 1
Cd1 Cd 0.250 0.250 0.250 1
Se1 Se 0.110 0.110 0.390 1
Se2 Se 0.136 0.136 0.864 1

=====

(16)
# TaW2Au GGA-PBEsol relaxed
# energy relative to the elements: 0.237 eV per atom
# energy relative to the lowest polymorph listed for this composition: 31 kJ/mol of formula units
data_TaW2Au
_cell_length_a 3.426
_cell_length_b 4.390
_cell_length_c 8.717
_cell_angle_alpha 90.00
_cell_angle_beta 90.00
_cell_angle_gamma 90.00
_space_group_name_H-M_alt 'I m m m'
_space_group_IT_number 71
_space_group_name_Hall '-I 2 2'
loop_
_atom_site_label
_atom_site_type_symbol
_atom_site_fract_x
_atom_site_fract_y
_atom_site_fract_z
_atom_site_occupancy
Ta1 Ta 0.000 0.000 0.000 1
W1 W 0.000 0.500 0.259 1
Au1 Au 0.000 0.000 0.500 1

=====

(17)
# BaCd3 GGA-PBEsol relaxed
# energy relative to the elements: -0.142 eV per atom
data_BaCd3
_cell_length_a 3.713
_cell_length_b 3.713
_cell_length_c 7.937
_cell_angle_alpha 90.00
_cell_angle_beta 90.00
_cell_angle_gamma 90.00
_space_group_name_H-M_alt 'P 4/m m m'
_space_group_IT_number 123
_space_group_name_Hall '-P 4 2'
loop_
_atom_site_label
_atom_site_type_symbol
_atom_site_fract_x
_atom_site_fract_y
_atom_site_fract_z
_atom_site_occupancy
Ba1 Ba 0.000 0.000 0.000 1
Cd1 Cd 0.000 0.000 0.500 1
Cd2 Cd 0.500 0.500 0.303 1

=====

(18)
# BaReH9 GGA-PBEsol relaxed
# energy relative to the lowest polymorph listed for this composition: 0 kJ/mol of formula units
data_BaReH9
_cell_length_a 5.053
_cell_length_b 8.731
_cell_length_c 9.481
_cell_angle_alpha 90.00
_cell_angle_beta 90.00
_cell_angle_gamma 90.00
_space_group_name_H-M_alt 'C m c m'
_space_group_IT_number 63
_space_group_name_Hall '-C 2c 2'
loop_
_atom_site_label
_atom_site_type_symbol
_atom_site_fract_x
_atom_site_fract_y
_atom_site_fract_z
_atom_site_occupancy
Ba1 Ba 0.000 0.000 0.000 1
Re1 Re 0.000 0.334 0.250 1
H1 H 0.000 0.143 0.250 1
H2 H 0.000 0.473 0.123 1
H3 H 0.209 0.264 0.124 1
H4 H 0.215 0.070 0.750 1

=====

(19)
# AlSi2OsC GGA-PBEsol relaxed
# uncorrected formation energy: 0.59 eV per atom
data_AlSi2OsC
_cell_length_a 3.957
_cell_length_b 3.957
_cell_length_c 3.826
_cell_angle_alpha 90.00
_cell_angle_beta 90.00
_cell_angle_gamma 90.00
_space_group_name_H-M_alt 'P 4/m m m'
_space_group_IT_number 123
_space_group_name_Hall '-P 4 2'
loop_
_atom_site_label
_atom_site_type_symbol
_atom_site_fract_x
_atom_site_fract_y
_atom_site_fract_z
_atom_site_occupancy
Al1 Al 0.000 0.000 0.000 1
Si1 Si 0.000 0.500 0.500 1
Os1 Os 0.500 0.500 0.000 1
C1 C 0.000 0.000 0.500 1

=====

(20)
# TlC2 GGA-PBEsol relaxed
# energy relative to the elements: 0.853 eV per atom
# energy relative to the lowest polymorph listed for this composition: 0 kJ/mol of formula units
data_TlC2
_cell_length_a 2.6744
_cell_length_b 2.6744
_cell_length_c 15.0804
_cell_angle_alpha 90.00
_cell_angle_beta 90.00
_cell_angle_gamma 120.00
_space_group_name_H-M_alt 'P 63/m m c'
_space_group_IT_number 194
_space_group_name_Hall '-P 6c 2c'
loop_
_atom_site_label
_atom_site_type_symbol
_atom_site_fract_x
_atom_site_fract_y
_atom_site_fract_z
_atom_site_occupancy
Tl1 Tl 0.3333 0.6667 0.2500 1
C1 C 0.3333 0.6667 0.0001 1

=====

One value per record, in order, for DFT total energy: -6.835, -4.836, -6.593, -3.121, -4.978, -7.315, -7.594, -4.911, -5.277, -2.752, -4.121, -9.415, -4.475, -7.457, -6.362, -10.786, -1.577, -4.412, -6.899, -6.453 eV/atom.